No. 1
Computed, not measured: an optimized crystal structure of NaPdF2 at the GGA-PBE level of DFT.

Its raw formation energy is -1.308 eV/atom. The relative energy among the computed polymorphs is 0.428 eV/atom. For the final energy, the calculation gives -3.872 eV per atom. Its space-group type is Fm-3m, No. 225.

POSCAR file:
```
NaPdF2
1.0
0.0000 2.9546 2.9546
2.9546 0.0000 2.9546
2.9546 2.9546 0.0000
Na Pd F
1 1 2
direct
0.0000 0.0000 0.0000
0.5000 0.5000 0.5000
0.2500 0.2500 0.2500
0.7500 0.7500 0.7500
```

---

No. 2
Computed, not measured: an optimized crystal structure of FePAu2 at the GGA-PBE level of DFT.

For the final energy, the calculation gives -4.737 eV per atom. Its space-group type is R-3m, No. 166. For the energy of formation, the calculation gives 369 meV per atom.

POSCAR file:
```
FePAu2
1.0
1.4861 0.8580 8.5176
-1.4861 0.8580 8.5176
0.0000 -1.7160 8.5176
Fe P Au
1 1 2
direct
0.0000 0.0000 0.0000
0.5000 0.5000 0.5000
0.2507 0.2507 0.2507
0.7493 0.7493 0.7493
```

---

No. 3
Computed, not measured: an optimized crystal structure of Fe3IrI at the GGA-PBE level of DFT.

Its raw formation energy is 1.103 eV/atom. The relative energy among the computed polymorphs is 0.000 eV/atom. For the final energy, the calculation gives -6.057 eV per atom. Its space-group type is Pm-3m, No. 221.

POSCAR file:
```
Fe3IrI
1.0
4.7750 0.0000 0.0000
0.0000 4.7750 0.0000
0.0000 0.0000 4.7750
Fe Ir I
3 1 1
direct
0.0000 0.0000 0.5000
0.0000 0.5000 0.0000
0.5000 0.0000 0.0000
0.0000 0.0000 0.0000
0.5000 0.5000 0.5000
```

---

No. 4
Computed, not measured: an optimized crystal structure of NdY2HoSe4 at the GGA-PBE level of DFT.

Its raw formation energy is -1.767 eV/atom. For the final energy, the calculation gives -6.293 eV per atom. Its space-group type is P2/m, No. 10.

POSCAR file:
```
NdY2HoSe4
1.0
7.1149 0.0000 0.0000
0.0000 4.0624 0.0000
-2.3252 0.0000 6.8262
Nd Y Ho Se
1 2 1 4
direct
0.0000 0.0000 0.0000
0.5000 0.0000 0.5000
0.5000 0.5000 0.0000
0.0000 0.5000 0.5000
0.2518 0.0000 0.7433
0.2575 0.5000 0.2599
0.7425 0.5000 0.7401
0.7482 0.0000 0.2567
```

---

No. 5
Computed, not measured: an optimized crystal structure of Rb2CaErBr6 at the GGA-PBE level of DFT.

Its raw formation energy is -1.709 eV/atom. For the final energy, the calculation gives -3.562 eV per atom. Its space-group type is Immm, No. 71.

POSCAR file:
```
Rb2CaErBr6
1.0
-4.0177 4.0237 5.6883
4.0177 -4.0237 5.6883
4.0177 4.0237 -5.6883
Rb Ca Er Br
2 1 1 6
direct
0.2503 0.2503 0.0000
0.7497 0.7497 0.0000
0.5000 0.0000 0.5000
0.0000 0.5000 0.5000
0.2463 0.2534 0.4997
0.2465 0.7465 0.5000
0.2463 0.7466 0.9929
0.7537 0.2534 0.0071
0.7535 0.2535 0.5000
0.7537 0.7466 0.5003
```

---

No. 6
Computed, not measured: an optimized crystal structure of TeWAu2 at the GGA-PBE level of DFT.

Its raw formation energy is 0.609 eV/atom. For the final energy, the calculation gives -5.054 eV per atom. Its space-group type is Immm, No. 71.

POSCAR file:
```
TeWAu2
1.0
-1.5581 2.2485 5.8750
1.5581 -2.2485 5.8750
1.5581 2.2485 -5.8750
Te W Au
1 1 2
direct
0.0000 0.0000 0.0000
0.5000 0.5000 0.0000
0.2962 0.7962 0.5000
0.7038 0.2038 0.5000
```

---

Density / g cm⁻³: 5.4; 12.3; 7.4; 6.8; 3.9; 14.2
DOS(E_F) / states/eV/cell: 5.98; 3.16; 7.50; 4.63; 4.71; 2.68
M_tot / μB per formula unit: 1.0; 3.0; 10.4; 0.0; 0.5; 0.0